# CsNa2Te

CsNa2Te after structural relaxation (PBE, Alexandria via LeMat-Bulk).

Results
Symmetry = R3m, No. 160
Magnetization = 0.149 μB/atom
Formation energy (no corrections) = -2.38 eV/f.u.
Density = 2.8 g cm⁻³
Density of states at the Fermi level = 1.8 states/eV/cell

```
data_CsNa2Te
_chemical_formula_sum 'Cs1 Na2 Te1'
_symmetry_space_group_name_H-M 'P 1'
_symmetry_Int_Tables_number 1
_cell_length_a 5.339
_cell_length_b 5.339
_cell_length_c 8.051
_cell_angle_alpha 70.64
_cell_angle_beta 70.64
_cell_angle_gamma 60.00
loop_
_symmetry_equiv_pos_as_xyz
'x,y,z'
loop_
_atom_site_label
_atom_site_fract_x
_atom_site_fract_y
_atom_site_fract_z
Te1 0.681 0.681 0.958
Na1 0.292 0.292 0.123
Na2 0.034 0.034 0.898
Cs1 0.493 0.493 0.521
```

# TcAgPb

TcAgPb after structural relaxation (PBE, Alexandria via LeMat-Bulk).

Results
Symmetry = F-43m, No. 216
Magnetization = 0.521 μB/atom
Energy relative to the elements = 825 meV/atom
Density = 10.1 g cm⁻³
Energy above the most stable polymorph in this dataset = 0.091 eV per atom
Density of states at the Fermi level = 3.4 states/eV/cell

```
data_TcAgPb
_chemical_formula_sum 'Tc1 Ag1 Pb1'
_symmetry_space_group_name_H-M 'P 1'
_symmetry_Int_Tables_number 1
_cell_length_a 4.581
_cell_length_b 4.581
_cell_length_c 4.581
_cell_angle_alpha 60.00
_cell_angle_beta 60.00
_cell_angle_gamma 60.00
loop_
_symmetry_equiv_pos_as_xyz
'x,y,z'
loop_
_atom_site_label
_atom_site_fract_x
_atom_site_fract_y
_atom_site_fract_z
Ag1 0.000 0.000 0.000
Tc1 0.750 0.750 0.750
Pb1 0.500 0.500 0.500
```

# CdFePt2

CdFePt2 after structural relaxation (PBE, Alexandria via LeMat-Bulk).

Results
Symmetry = P4mm, No. 99
Magnetization = 0.759 μB/atom
Energy relative to the elements = -58 meV/atom
Density = 14.6 g cm⁻³
Density of states at the Fermi level = 2.6 states/eV/cell

```
data_CdFePt2
_chemical_formula_sum 'Cd1 Fe1 Pt2'
_symmetry_space_group_name_H-M 'P 1'
_symmetry_Int_Tables_number 1
_cell_length_a 2.813
_cell_length_b 2.813
_cell_length_c 8.004
_cell_angle_alpha 90.00
_cell_angle_beta 90.00
_cell_angle_gamma 90.07
loop_
_symmetry_equiv_pos_as_xyz
'x,y,z'
loop_
_atom_site_label
_atom_site_fract_x
_atom_site_fract_y
_atom_site_fract_z
Fe1 0.500 0.500 0.768
Pt1 0.000 0.000 0.984
Pt2 0.500 0.500 0.242
Cd1 0.000 0.000 0.506
```

# Nd5Dy3Y3

Nd5Dy3Y3 after structural relaxation (PBE, Alexandria via LeMat-Bulk).

Results
Symmetry = P-62m, No. 189
Magnetization = 0.000 μB/atom
Energy relative to the elements = 324 meV/atom
Density = 6.4 g cm⁻³
Energy above the most stable polymorph in this dataset = 0.000 eV per atom
Density of states at the Fermi level = 16.6 states/eV/cell

```
data_Nd5Dy3Y3
_chemical_formula_sum 'Nd5 Dy3 Y3'
_symmetry_space_group_name_H-M 'P 1'
_symmetry_Int_Tables_number 1
_cell_length_a 3.471
_cell_length_b 11.313
_cell_length_c 11.313
_cell_angle_alpha 120.00
_cell_angle_beta 90.00
_cell_angle_gamma 90.00
loop_
_symmetry_equiv_pos_as_xyz
'x,y,z'
loop_
_atom_site_label
_atom_site_fract_x
_atom_site_fract_y
_atom_site_fract_z
Y1 0.500 0.161 0.161
Y2 0.500 0.839 0.000
Y3 0.500 0.000 0.839
Dy1 0.000 0.000 0.594
Dy2 0.000 0.594 0.000
Dy3 0.000 0.406 0.406
Nd1 0.500 0.000 0.340
Nd2 0.500 0.333 0.667
Nd3 0.500 0.660 0.660
Nd4 0.500 0.667 0.333
Nd5 0.500 0.340 0.000
```

# BeOs2Pd

BeOs2Pd after structural relaxation (PBE, Alexandria via LeMat-Bulk).

Results
Symmetry = I-42d, No. 122
Magnetization = 0.000 μB/atom
Energy relative to the elements = 617 meV/atom
Density = 13.7 g cm⁻³
Density of states at the Fermi level = 4.6 states/eV/cell

```
data_BeOs2Pd
_chemical_formula_sum 'Be2 Os4 Pd2'
_symmetry_space_group_name_H-M 'P 1'
_symmetry_Int_Tables_number 1
_cell_length_a 3.657
_cell_length_b 3.657
_cell_length_c 9.323
_cell_angle_alpha 78.69
_cell_angle_beta 78.69
_cell_angle_gamma 90.00
loop_
_symmetry_equiv_pos_as_xyz
'x,y,z'
loop_
_atom_site_label
_atom_site_fract_x
_atom_site_fract_y
_atom_site_fract_z
Os1 0.875 0.831 0.750
Os2 0.581 0.125 0.250
Os3 0.375 0.419 0.750
Os4 0.169 0.625 0.250
Be1 0.500 0.500 0.000
Be2 0.250 0.750 0.500
Pd1 0.750 0.250 0.500
Pd2 0.000 0.000 0.000
```

# Cs2SrBr

Cs2SrBr after structural relaxation (PBE, Alexandria via LeMat-Bulk).

Results
Symmetry = R-3m, No. 166
Magnetization = 0.000 μB/atom
Formation energy (no corrections) = -2.84 eV/f.u.
Density = 2.7 g cm⁻³
Energy above the most stable polymorph in this dataset = 0.000 eV per atom
Density of states at the Fermi level = 2.1 states/eV/cell

```
data_Cs2SrBr
_chemical_formula_sum 'Cs2 Sr1 Br1'
_symmetry_space_group_name_H-M 'P 1'
_symmetry_Int_Tables_number 1
_cell_length_a 4.724
_cell_length_b 4.724
_cell_length_c 13.954
_cell_angle_alpha 80.25
_cell_angle_beta 80.25
_cell_angle_gamma 60.00
loop_
_symmetry_equiv_pos_as_xyz
'x,y,z'
loop_
_atom_site_label
_atom_site_fract_x
_atom_site_fract_y
_atom_site_fract_z
Br1 0.500 0.500 0.500
Sr1 0.000 0.000 0.000
Cs1 0.891 0.891 0.328
Cs2 0.109 0.109 0.672
```